# RbHf2Bi, optimized geometry, DFT PBE
# magnetic moment: 0.00 Bohr magnetons per cell
# calculated density: 6.9 Mg/m³
# E_form: 0.851 eV/atom
# Fermi-level density of states: 0.9270 states/eV per atom
data_RbHf2Bi
_cell_length_a 5.3879
_cell_length_b 5.3879
_cell_length_c 21.4579
_cell_angle_alpha 90.00
_cell_angle_beta 90.00
_cell_angle_gamma 90.00
_symmetry_space_group_name_H-M 'I -4 2 d'
_symmetry_Int_Tables_number 122
_symmetry_space_group_name_Hall 'I -4 2bw'
loop_
_atom_site_label
_atom_site_type_symbol
_atom_site_fract_x
_atom_site_fract_y
_atom_site_fract_z
Rb1 Rb 0.0000 0.0000 0.0000
Hf1 Hf 0.0257 0.2500 0.6250
Bi1 Bi 0.0000 0.0000 0.5000

# TiNbGe2Sb, optimized geometry, DFT PBE
# magnetic moment: 0.00 Bohr magnetons per cell
# calculated density: 5.8 Mg/m³
# raw formation energy: 4.33 eV/f.u.
# Fermi-level density of states: 1.2544 states/eV per atom
data_TiNbGe2Sb
_cell_length_a 4.7298
_cell_length_b 4.7298
_cell_length_c 5.2011
_cell_angle_alpha 90.00
_cell_angle_beta 90.00
_cell_angle_gamma 90.00
_symmetry_space_group_name_H-M 'P 4/m m m'
_symmetry_Int_Tables_number 123
_symmetry_space_group_name_Hall '-P 4 2'
loop_
_atom_site_label
_atom_site_type_symbol
_atom_site_fract_x
_atom_site_fract_y
_atom_site_fract_z
Ti1 Ti 0.0000 0.0000 0.0000
Nb1 Nb 0.5000 0.5000 0.5000
Ge1 Ge 0.0000 0.5000 0.0000
Sb1 Sb 0.0000 0.0000 0.5000

# ZrSiPt2F, optimized geometry, DFT PBE
# magnetic moment: 0.00 Bohr magnetons per cell
# calculated density: 6.7 Mg/m³
# raw formation energy: 4.06 eV/f.u.
# Fermi-level density of states: 1.0923 states/eV per atom
data_ZrSiPt2F
_cell_length_a 4.9474
_cell_length_b 4.9474
_cell_length_c 5.3764
_cell_angle_alpha 90.00
_cell_angle_beta 90.00
_cell_angle_gamma 90.00
_symmetry_space_group_name_H-M 'P 4/m m m'
_symmetry_Int_Tables_number 123
_symmetry_space_group_name_Hall '-P 4 2'
loop_
_atom_site_label
_atom_site_type_symbol
_atom_site_fract_x
_atom_site_fract_y
_atom_site_fract_z
Zr1 Zr 0.0000 0.0000 0.0000
Si1 Si 0.0000 0.0000 0.5000
Pt1 Pt 0.0000 0.5000 0.0000
F1 F 0.5000 0.5000 0.5000

Q: Number 2 is which compound?
A: TiNbGe2Sb

Q: Which of these has the lowest Fermi-level density of states?
A: RbHf2Bi

Q: calculated density of number 2 (TiNbGe2Sb)?
A: 5.8 Mg/m³